Entry from the Alexandria database: a geometry-optimized BeAsSe2 structure (PBE).

Lattice parameters (Å, degrees): 6.1625 6.1625 9.1379 90.00 90.00 90.00
Sites, in units of the cell vectors:
Be1 0.0000 0.0000 0.0000
Be2 0.0000 0.5000 0.2500
Be3 0.5000 0.0000 0.7500
Be4 0.5000 0.5000 0.5000
As1 0.0000 0.0000 0.5000
As2 0.0000 0.5000 0.7500
As3 0.5000 0.0000 0.2500
As4 0.5000 0.5000 0.0000
Se1 0.1848 0.2500 0.1250
Se2 0.2500 0.6848 0.3750
Se3 0.2500 0.8152 0.8750
Se4 0.3152 0.2500 0.6250
Se5 0.6848 0.7500 0.6250
Se6 0.7500 0.1848 0.8750
Se7 0.7500 0.3152 0.3750
Se8 0.8152 0.7500 0.1250

Properties
Symmetry   No. 122
ΔE_f (raw)   -0.33 eV/f.u.
Energy above the lowest structure with this stoichiometry   35 meV per atom
Calculated volume   21.69 Å³/atom

Entry from the Alexandria database: a geometry-optimized Al3CuW structure (PBE).

Lattice parameters (Å, degrees): 4.4049 4.4049 4.4049 90.00 90.00 90.00
Sites, in units of the cell vectors:
Al1 0.0000 0.0000 0.5000
Al2 0.0000 0.5000 0.0000
Al3 0.5000 0.0000 0.0000
Cu1 0.0000 0.0000 0.0000
W1 0.5000 0.5000 0.5000

Properties
Symmetry   No. 221
Formation energy from the elements   0.88 eV/atom
Energy above the lowest structure with this stoichiometry   0 meV per atom
Calculated volume   17.09 Å³/atom

Entry from the Alexandria database: a geometry-optimized SnGe2I8 structure (PBE).

Lattice parameters (Å, degrees): 9.0078 9.0078 7.9276 91.15 91.15 65.38
Sites, in units of the cell vectors:
Sn1 0.0000 0.0000 0.0000
Ge1 0.1852 0.1852 0.6443
Ge2 0.8148 0.8148 0.3557
I1 0.0873 0.6552 0.1685
I2 0.1084 0.1084 0.3182
I3 0.3448 0.9127 0.8315
I4 0.3565 0.3565 0.6818
I5 0.6435 0.6435 0.3182
I6 0.6552 0.0873 0.1685
I7 0.8916 0.8916 0.6818
I8 0.9127 0.3448 0.8315

Properties
Symmetry   No. 12
ΔE_f (raw)   -2.93 eV/f.u.
Calculated volume   53.15 Å³/atom

Entry from the Alexandria database: a geometry-optimized KFeP2Ru structure (PBE).

Lattice parameters (Å, degrees): 4.4197 4.4197 4.7110 90.00 90.00 90.00
Sites, in units of the cell vectors:
K1 0.0000 0.0000 0.0000
Fe1 0.5000 0.5000 0.5000
P1 0.0000 0.5000 0.5000
P2 0.5000 0.0000 0.5000
Ru1 0.5000 0.5000 0.0000

Properties
Symmetry   No. 123
Formation energy from the elements   0.72 eV/atom
Calculated volume   18.40 Å³/atom

Entry from the Alexandria database: a geometry-optimized SrMoSeN2 structure (PBE).

Lattice parameters (Å, degrees): 4.0665 4.0665 5.2143 90.00 90.00 90.00
Sites, in units of the cell vectors:
Sr1 0.0000 0.0000 0.0000
Mo1 0.5000 0.5000 0.5000
Se1 0.5000 0.5000 0.0000
N1 0.0000 0.5000 0.5000
N2 0.5000 0.0000 0.5000

Properties
Symmetry   No. 123
ΔE_f (raw)   -1.94 eV/f.u.
Energy above the lowest structure with this stoichiometry   0 meV per atom
Calculated volume   17.25 Å³/atom

Entry from the Alexandria database: a geometry-optimized NiSbIr3 structure (PBE).

Lattice parameters (Å, degrees): 4.8210 4.8210 4.8210 90.00 90.00 90.00
Sites, in units of the cell vectors:
Ni1 0.0000 0.0000 0.0000
Sb1 0.5000 0.5000 0.5000
Ir1 0.0000 0.5000 0.5000
Ir2 0.5000 0.0000 0.5000
Ir3 0.5000 0.5000 0.0000

Properties
Symmetry   No. 221
ΔE_f (raw)   9.94 eV/f.u.
Energy above the lowest structure with this stoichiometry   731 meV per atom
Calculated volume   22.41 Å³/atom